P2SeCl: optimized geometry, GGA-PBE.

Cell: 4.638 4.638 4.638 Å, 60.00 60.00 60.00°
Positions (direct):
P  0.250  0.250  0.250
P  0.750  0.750  0.750
Se  0.000  0.000  0.000
Cl  0.500  0.500  0.500

PSeCl2: optimized geometry, GGA-PBE.

Cell: 5.191 5.191 3.024 Å, 90.00 90.00 109.06°
Positions (direct):
P  0.000  0.000  0.000
Se  0.500  0.500  0.000
Cl  0.000  0.500  0.500
Cl  0.500  0.000  0.500

no.,Fermi-level density of states (states/eV per atom),raw total energy (Ry per atom)
1,0.67,-0.238
2,0.97,-0.171